# 1
An optimized crystal structure of Bi2SbIr2. Source: Alexandria, functional PBE.

The space group is I4/mmm (No. 139) and the conventional cell measures 4.495, 4.495 and 11.896 Å, with angles of 90.00, 90.00 and 90.00 degrees. Symmetry generates all atoms from Bi at (0.000, 0.500, 0.250), Sb at (0.000, 0.000, 0.000) and Ir at (0.000, 0.000, 0.395).

The uncorrected formation energy is 2.5 eV/f.u. The energy above the most stable polymorph in this dataset is 0.169 eV per atom. For the density of states at the Fermi level, the calculation gives 5.52 states/eV/f.u.

# 2
An optimized crystal structure of NaCd2I4. Source: Alexandria, functional PBE.

The space group is I4/m (No. 87) and the conventional cell measures 8.726, 8.726 and 7.866 Å, with angles of 90.00, 90.00 and 90.00 degrees. Symmetry generates all atoms from Na at (0.000, 0.000, 0.000), Cd at (0.000, 0.500, 0.250) and I at (0.181, 0.684, 0.000).

The uncorrected formation energy is -3.9 eV/f.u. For the density of states at the Fermi level, the calculation gives 4.86 states/eV/f.u.

# 3
An optimized crystal structure of BaZn2Cd. Source: Alexandria, functional PBE.

The space group is P4mm (No. 99) and the conventional cell measures 3.706, 3.706 and 7.661 Å, with angles of 90.00, 90.00 and 90.00 degrees. Symmetry generates all atoms from Ba at (0.000, 0.000, 0.000), Zn at (0.000, 0.000, 0.548), Zn at (0.500, 0.500, 0.699) and Cd at (0.500, 0.500, 0.333).

For the density of states at the Fermi level, the calculation gives 2.83 states/eV/f.u. The calculation puts the energy relative to the elements at -3.0 kJ per mole of atoms.

# 4
An optimized crystal structure of Li3LaIr. Source: Alexandria, functional PBE.

The space group is Pm-3m (No. 221) and the conventional cell measures 4.563, 4.563 and 4.563 Å, with angles of 90.00, 90.00 and 90.00 degrees. Symmetry generates all atoms from Li at (0.000, 0.000, 0.500), La at (0.000, 0.000, 0.000) and Ir at (0.500, 0.500, 0.500).

The energy above the most stable polymorph in this dataset is 1.456 eV per atom. For the density of states at the Fermi level, the calculation gives 4.68 states/eV/f.u. The calculation puts the energy relative to the elements at 158.6 kJ per mole of atoms.

# 5
An optimized crystal structure of LiSm2I6. Source: Alexandria, functional PBE.

The space group is C2/m (No. 12) and the conventional cell measures 16.248, 6.201 and 8.871 Å, with angles of 90.00, 93.84 and 90.00 degrees. Symmetry generates all atoms from Li at (0.000, 0.000, 0.000), Sm at (0.239, 0.000, 0.654), I at (0.061, 0.000, 0.723), I at (0.117, 0.500, 0.124) and I at (0.233, 0.500, 0.687).

The uncorrected formation energy is -10.4 eV/f.u. The energy above the most stable polymorph in this dataset is 0.139 eV per atom. For the density of states at the Fermi level, the calculation gives 1.43 states/eV/f.u.

# 6
An optimized crystal structure of Pr8Dy2Tm. Source: Alexandria, functional PBE.

The space group is C2/m (No. 12) and the conventional cell measures 14.535, 6.861 and 8.736 Å, with angles of 90.00, 115.78 and 90.00 degrees. Symmetry generates all atoms from Pr at (0.096, 0.242, 0.386), Pr at (0.108, 0.000, 0.994), Pr at (0.240, 0.000, 0.782), Dy at (0.140, 0.500, 0.758) and Tm at (0.000, 0.500, 0.000).

The energy above the most stable polymorph in this dataset is 0.030 eV per atom. For the density of states at the Fermi level, the calculation gives 16.21 states/eV/f.u. The calculation puts the energy relative to the elements at 18.9 kJ per mole of atoms.